Record 1
First-principles (PBE) data for crystalline HfVCdOs2 at its relaxed geometry, as listed in Alexandria via LeMat-Bulk.

Geometry as CIF:
```
data_HfVCdOs2
_space_group_name_H-M_alt 'P 4/m m m'
_space_group_IT_number 123
_space_group_name_Hall '-P 4 2'
_cell_length_a 4.499
_cell_length_b 4.499
_cell_length_c 4.804
_cell_angle_alpha 90.00
_cell_angle_beta 90.00
_cell_angle_gamma 90.00
loop_
_atom_site_label
_atom_site_fract_x
_atom_site_fract_y
_atom_site_fract_z
Hf1 0.000 0.000 0.000
V1 0.500 0.500 0.500
Cd1 0.500 0.500 0.000
Os1 0.000 0.500 0.500
```

Energy of formation from the pure elements   1.073 eV/atom
D(E_F)   3.7 states/eV/f.u.


Record 2
First-principles (PBE) data for crystalline YHf2CdOs at its relaxed geometry, as listed in Alexandria via LeMat-Bulk.

Geometry as CIF:
```
data_YHf2CdOs
_space_group_name_H-M_alt 'P 4/m m m'
_space_group_IT_number 123
_space_group_name_Hall '-P 4 2'
_cell_length_a 5.149
_cell_length_b 5.149
_cell_length_c 4.821
_cell_angle_alpha 90.00
_cell_angle_beta 90.00
_cell_angle_gamma 90.00
loop_
_atom_site_label
_atom_site_fract_x
_atom_site_fract_y
_atom_site_fract_z
Y1 0.000 0.000 0.000
Hf1 0.000 0.500 0.000
Cd1 0.500 0.500 0.500
Os1 0.000 0.000 0.500
```

Energy of formation from the pure elements   1.758 eV/atom
D(E_F)   4.5 states/eV/f.u.


Record 3
First-principles (PBE) data for crystalline HfZrCd2Os at its relaxed geometry, as listed in Alexandria via LeMat-Bulk.

Geometry as CIF:
```
data_HfZrCd2Os
_space_group_name_H-M_alt 'P 4/m m m'
_space_group_IT_number 123
_space_group_name_Hall '-P 4 2'
_cell_length_a 5.253
_cell_length_b 5.253
_cell_length_c 4.703
_cell_angle_alpha 90.00
_cell_angle_beta 90.00
_cell_angle_gamma 90.00
loop_
_atom_site_label
_atom_site_fract_x
_atom_site_fract_y
_atom_site_fract_z
Hf1 0.000 0.000 0.000
Zr1 0.500 0.500 0.500
Cd1 0.000 0.500 0.500
Os1 0.500 0.500 0.000
```

Energy of formation from the pure elements   1.427 eV/atom
D(E_F)   4.3 states/eV/f.u.


Record 4
First-principles (PBE) data for crystalline Hf5Zr2CdOs2 at its relaxed geometry, as listed in Alexandria via LeMat-Bulk.

Geometry as CIF:
```
data_Hf5Zr2CdOs2
_space_group_name_H-M_alt 'P 4/m b m'
_space_group_IT_number 127
_space_group_name_Hall '-P 4 2ab'
_cell_length_a 11.135
_cell_length_b 11.135
_cell_length_c 3.488
_cell_angle_alpha 90.00
_cell_angle_beta 90.00
_cell_angle_gamma 90.00
loop_
_atom_site_label
_atom_site_fract_x
_atom_site_fract_y
_atom_site_fract_z
Hf1 0.000 0.500 0.000
Hf2 0.051 0.211 0.000
Zr1 0.183 0.683 0.500
Cd1 0.000 0.000 0.500
Os1 0.136 0.364 0.500
```

Energy of formation from the pure elements   -0.169 eV/atom
D(E_F)   11.7 states/eV/f.u.


Record 5
First-principles (PBE) data for crystalline Hf3CdP at its relaxed geometry, as listed in Alexandria via LeMat-Bulk.

Geometry as CIF:
```
data_Hf3CdP
_space_group_name_H-M_alt 'P m -3 m'
_space_group_IT_number 221
_space_group_name_Hall '-P 4 2 3'
_cell_length_a 4.821
_cell_length_b 4.821
_cell_length_c 4.821
_cell_angle_alpha 90.00
_cell_angle_beta 90.00
_cell_angle_gamma 90.00
loop_
_atom_site_label
_atom_site_fract_x
_atom_site_fract_y
_atom_site_fract_z
Hf1 0.000 0.000 0.500
Cd1 0.500 0.500 0.500
P1 0.000 0.000 0.000
```

Energy of formation from the pure elements   -0.233 eV/atom
D(E_F)   3.8 states/eV/f.u.
Polymorph energy (0 for the lowest one)   0.00 kJ per mole of atoms


Record 6
First-principles (PBE) data for crystalline HfCd3P at its relaxed geometry, as listed in Alexandria via LeMat-Bulk.

Geometry as CIF:
```
data_HfCd3P
_space_group_name_H-M_alt 'P m -3 m'
_space_group_IT_number 221
_space_group_name_Hall '-P 4 2 3'
_cell_length_a 5.525
_cell_length_b 5.525
_cell_length_c 5.525
_cell_angle_alpha 90.00
_cell_angle_beta 90.00
_cell_angle_gamma 90.00
loop_
_atom_site_label
_atom_site_fract_x
_atom_site_fract_y
_atom_site_fract_z
Hf1 0.000 0.000 0.000
Cd1 0.000 0.000 0.500
P1 0.500 0.500 0.500
```

Energy of formation from the pure elements   1.320 eV/atom
D(E_F)   6.9 states/eV/f.u.
Polymorph energy (0 for the lowest one)   53.60 kJ per mole of atoms


Record 7
First-principles (PBE) data for crystalline HfCdP3 at its relaxed geometry, as listed in Alexandria via LeMat-Bulk.

Geometry as CIF:
```
data_HfCdP3
_space_group_name_H-M_alt 'P m -3 m'
_space_group_IT_number 221
_space_group_name_Hall '-P 4 2 3'
_cell_length_a 4.978
_cell_length_b 4.978
_cell_length_c 4.978
_cell_angle_alpha 90.00
_cell_angle_beta 90.00
_cell_angle_gamma 90.00
loop_
_atom_site_label
_atom_site_fract_x
_atom_site_fract_y
_atom_site_fract_z
Hf1 0.000 0.000 0.000
Cd1 0.500 0.500 0.500
P1 0.000 0.000 0.500
```

Energy of formation from the pure elements   0.317 eV/atom
D(E_F)   3.2 states/eV/f.u.
Polymorph energy (0 for the lowest one)   0.00 kJ per mole of atoms


Record 8
First-principles (PBE) data for crystalline HfCd2P2 at its relaxed geometry, as listed in Alexandria via LeMat-Bulk.

Geometry as CIF:
```
data_HfCd2P2
_space_group_name_H-M_alt 'P 4/m b m'
_space_group_IT_number 127
_space_group_name_Hall '-P 4 2ab'
_cell_length_a 7.032
_cell_length_b 7.032
_cell_length_c 3.969
_cell_angle_alpha 90.00
_cell_angle_beta 90.00
_cell_angle_gamma 90.00
loop_
_atom_site_label
_atom_site_fract_x
_atom_site_fract_y
_atom_site_fract_z
Hf1 0.000 0.000 0.000
Cd1 0.152 0.348 0.500
P1 0.165 0.665 0.000
```

Energy of formation from the pure elements   -0.159 eV/atom
D(E_F)   2.0 states/eV/f.u.